Entry 1:
Here is a relaxed Y2SiMo crystal from the Alexandria database. Energies are from PBE.

a = 9.014 Å, b = 9.014 Å, c = 9.014 Å
α = 22.82°, β = 22.82°, γ = 22.82°
Positions (direct):
Mo (0.480, 0.480, 0.480)
Y (0.024, 0.024, 0.024)
Y (0.233, 0.233, 0.233)
Si (0.764, 0.764, 0.764)

Results
- Magnetization: 0.000 μB per cell
- Calculated total energy: -7.315 eV/atom

=====

Entry 2:
Here is a relaxed YSi2Mo crystal from the Alexandria database. Energies are from PBE.

a = 4.607 Å, b = 4.607 Å, c = 4.607 Å
α = 60.00°, β = 60.00°, γ = 60.00°
Positions (direct):
Si (0.250, 0.250, 0.250)
Si (0.750, 0.750, 0.750)
Mo (0.500, 0.500, 0.500)
Y (0.000, 0.000, 0.000)

Results
- Magnetization: 0.000 μB per cell
- Energy above the lowest structure with this stoichiometry: 0.372 eV/atom
- Calculated total energy: -7.144 eV/atom

=====

Entry 3:
Here is a relaxed ZnSi2Mo2 crystal from the Alexandria database. Energies are from PBE.

a = 6.776 Å, b = 6.776 Å, c = 3.292 Å
α = 90.00°, β = 90.00°, γ = 90.00°
Positions (direct):
Zn (0.500, 0.500, 0.000)
Zn (0.000, 0.000, 0.000)
Si (0.859, 0.359, 0.500)
Si (0.641, 0.859, 0.500)
Si (0.359, 0.141, 0.500)
Si (0.141, 0.641, 0.500)
Mo (0.847, 0.653, 0.000)
Mo (0.653, 0.153, 0.000)
Mo (0.153, 0.347, 0.000)
Mo (0.347, 0.847, 0.000)

Results
- Magnetization: 0.000 μB per cell
- Energy above the lowest structure with this stoichiometry: 0.080 eV/atom
- Calculated total energy: -6.902 eV/atom

=====

Entry 4:
Here is a relaxed Zn4SiMo crystal from the Alexandria database. Energies are from PBE.

a = 4.992 Å, b = 4.992 Å, c = 4.992 Å
α = 60.00°, β = 60.00°, γ = 60.00°
Positions (direct):
Si (0.000, 0.000, 0.000)
Zn (0.624, 0.624, 0.128)
Zn (0.128, 0.624, 0.624)
Zn (0.624, 0.128, 0.624)
Zn (0.624, 0.624, 0.624)
Mo (0.250, 0.250, 0.250)

Results
- Magnetization: 0.000 μB per cell
- Calculated total energy: -3.229 eV/atom

=====

Entry 5:
Here is a relaxed ZnSi2Mo2 crystal from the Alexandria database. Energies are from PBE.

a = 6.513 Å, b = 6.513 Å, c = 3.356 Å
α = 90.00°, β = 90.00°, γ = 90.00°
Positions (direct):
Mo (0.333, 0.167, 0.500)
Mo (0.667, 0.833, 0.500)
Mo (0.167, 0.667, 0.500)
Mo (0.833, 0.333, 0.500)
Si (0.131, 0.369, 0.000)
Si (0.869, 0.631, 0.000)
Si (0.631, 0.131, 0.000)
Si (0.369, 0.869, 0.000)
Zn (0.500, 0.500, 0.000)
Zn (0.000, 0.000, 0.000)

Results
- Magnetization: 0.000 μB per cell
- Energy above the lowest structure with this stoichiometry: 0.000 eV/atom
- Calculated total energy: -6.983 eV/atom

=====

Entry 6:
Here is a relaxed ZnSi3Mo crystal from the Alexandria database. Energies are from PBE.

a = 4.769 Å, b = 4.769 Å, c = 4.769 Å
α = 90.00°, β = 90.00°, γ = 90.00°
Positions (direct):
Si (0.500, 0.000, 0.000)
Si (0.000, 0.500, 0.000)
Si (0.000, 0.000, 0.500)
Mo (0.000, 0.000, 0.000)
Zn (0.500, 0.500, 0.500)

Results
- Magnetization: 0.000 μB per cell
- Energy above the lowest structure with this stoichiometry: 0.000 eV/atom
- Calculated total energy: -5.156 eV/atom